# PmYCl4 | the Alexandria database | PBE-GGA | optimized geometry
data_PmYCl4
_chemical_formula_sum 'Pm2 Y2 Cl8'
_cell_length_a 6.752
_cell_length_b 6.777
_cell_length_c 9.078
_cell_angle_alpha 104.28
_cell_angle_beta 104.17
_cell_angle_gamma 109.89
_space_group_name_H-M_alt 'P 1'
_space_group_IT_number 1
loop_
_space_group_symop_operation_xyz
'x,y,z'
loop_
_atom_site_label
_atom_site_type_symbol
_atom_site_fract_x
_atom_site_fract_y
_atom_site_fract_z
Pm1 Pm 0.307 0.557 0.114
Pm2 Pm 0.693 0.443 0.886
Y1 Y 0.809 0.059 0.119
Y2 Y 0.191 0.941 0.881
Cl1 Cl 0.321 0.074 0.657
Cl2 Cl 0.076 0.834 0.139
Cl3 Cl 0.164 0.417 0.343
Cl4 Cl 0.437 0.695 0.861
Cl5 Cl 0.679 0.926 0.343
Cl6 Cl 0.836 0.583 0.657
Cl7 Cl 0.924 0.166 0.861
Cl8 Cl 0.563 0.305 0.139
# Crystal system   monoclinic
# Uncorrected energy   -4.99 eV/atom
# Magnetic moment   0.000 μB per cell